1.
Tb6Nd4Dy: optimized geometry, PBE.

Values from the calculation:
E_form, meV/atom: 430
Excess energy over the best structure of this formula in the dataset, eV/f.u.: 1.497
M_tot, μB/atom: 0.00
Raw total energy, eV/atom: -4.248

abc: 7.6816 7.6816 13.2520
angles: 90.00 90.00 90.00
Space group I-42m (No. 121)
Inequivalent atoms, fractional coordinates:
Tb (0.0000, 0.5000, 0.0000) [4 per cell]
Tb (0.2374, 0.2374, 0.1850) [8 per cell]
Nd (0.1750, 0.1750, 0.4230) [8 per cell]
Dy (0.0000, 0.0000, 0.0000) [2 per cell]

---

2.
RbIr3Cl: optimized geometry, PBE.

Values from the calculation:
Excess energy over the best structure of this formula in the dataset, eV/f.u.: 8.733
Energy relative to the elements, uncorrected, kJ/mol of formula units: 1637
M_tot, μB/atom: 0.97
Raw total energy, eV/atom: -2.487

abc: 5.1446 5.1446 5.1446
angles: 90.00 90.00 90.00
Space group Pm-3m (No. 221)
Inequivalent atoms, fractional coordinates:
Rb (0.0000, 0.0000, 0.0000) [1 per cell]
Ir (0.0000, 0.0000, 0.5000) [3 per cell]
Cl (0.5000, 0.5000, 0.5000) [1 per cell]

---

3.
La2MnSb: optimized geometry, PBE.

Values from the calculation:
Energy relative to the elements, uncorrected, kJ/mol of formula units: -5
M_tot, μB/atom: 0.44
Raw total energy, eV/atom: -5.800

abc: 7.4807 7.4807 7.4807
angles: 90.00 90.00 90.00
Space group F-43m (No. 216)
Inequivalent atoms, fractional coordinates:
La (0.0000, 0.0000, 0.0000) [4 per cell]
La (0.2500, 0.2500, 0.2500) [4 per cell]
Mn (0.0000, 0.0000, 0.5000) [4 per cell]
Sb (0.2500, 0.2500, 0.7500) [4 per cell]

---

4.
La2HoPd: optimized geometry, PBE.

Values from the calculation:
E_form, meV/atom: -258
Excess energy over the best structure of this formula in the dataset, eV/f.u.: 0.643
M_tot, μB/atom: 0.00
Raw total energy, eV/atom: -5.165

abc: 3.8960 3.8960 28.9282
angles: 90.00 90.00 120.00
Space group R3m (No. 160, hexagonal axes)
Inequivalent atoms, fractional coordinates:
La (0.0000, 0.0000, 0.0000) [3 per cell]
La (0.0000, 0.0000, 0.1991) [3 per cell]
Ho (0.0000, 0.0000, 0.4321) [3 per cell]
Pd (0.0000, 0.0000, 0.5999) [3 per cell]

---

> What is the raw total energy in the fourth record?

-5.165 eV/atom

---

> M_tot of number 3 (La2MnSb)?

0.44 μB/atom

---

Please write out number 3 again, unchanged.
La2MnSb: optimized geometry, PBE.

Values from the calculation:
Energy relative to the elements, uncorrected, kJ/mol of formula units: -5
M_tot, μB/atom: 0.44
Raw total energy, eV/atom: -5.800

abc: 7.4807 7.4807 7.4807
angles: 90.00 90.00 90.00
Space group F-43m (No. 216)
Inequivalent atoms, fractional coordinates:
La (0.0000, 0.0000, 0.0000) [4 per cell]
La (0.2500, 0.2500, 0.2500) [4 per cell]
Mn (0.0000, 0.0000, 0.5000) [4 per cell]
Sb (0.2500, 0.2500, 0.7500) [4 per cell]